# PBE HfThPd, relaxed
# **Crystal system**: orthorhombic
# **Energy above the lowest structure with this stoichiometry**: 49 meV/atom
# **Energy of formation from the pure elements**: -0.3654 eV/atom
data_HfThPd
_cell_length_a 4.812
_cell_length_b 11.594
_cell_length_c 5.090
_cell_angle_alpha 90.00
_cell_angle_beta 90.00
_cell_angle_gamma 90.00
_symmetry_space_group_name_H-M 'C m c m'
_symmetry_Int_Tables_number 63
_symmetry_space_group_name_Hall '-C 2c 2'
loop_
_atom_site_label
_atom_site_type_symbol
_atom_site_fract_x
_atom_site_fract_y
_atom_site_fract_z
Hf1 Hf 0.000 0.088 0.250
Th1 Th 0.000 0.396 0.250
Pd1 Pd 0.000 0.274 0.750

***

# PBE HfTh2Pd, relaxed
# **Crystal system**: trigonal
# **Energy above the lowest structure with this stoichiometry**: 390 meV/atom
# **Energy of formation from the pure elements**: 0.1681 eV/atom
data_HfTh2Pd
_cell_length_a 3.3115
_cell_length_b 3.3115
_cell_length_c 32.7327
_cell_angle_alpha 90.00
_cell_angle_beta 90.00
_cell_angle_gamma 120.00
_symmetry_space_group_name_H-M 'R -3 m'
_symmetry_Int_Tables_number 166
_symmetry_space_group_name_Hall '-R 3 2"'
loop_
_atom_site_label
_atom_site_type_symbol
_atom_site_fract_x
_atom_site_fract_y
_atom_site_fract_z
Hf1 Hf 0.0000 0.0000 0.0000
Th1 Th 0.0000 0.0000 0.0931
Pd1 Pd 0.0000 0.0000 0.5000